# 1
meta-GGA SCAN Tb3Cu3Sb4, single point on PBEsol structure; space group = I-43d (220)
1.0
-6.4214 5.0586 -0.4060
-2.3194 -7.0877 3.3725
5.8711 3.4056 4.5739
Sb Cu Tb
8 6 6
direct
0.8377 0.8377 0.3377
0.0000 0.5000 0.6623
0.3377 0.3377 0.8377
0.5000 0.6623 0.5000
0.6623 0.0000 0.0000
0.5000 0.1623 0.5000
0.1623 0.0000 0.0000
0.0000 0.5000 0.1623
0.3750 0.6250 0.7500
0.7500 0.1250 0.3750
0.8750 0.7500 0.6250
0.1250 0.8750 0.2500
0.6250 0.2500 0.8750
0.2500 0.3750 0.1250
0.7500 0.6250 0.8750
0.6250 0.3750 0.2500
0.8750 0.1250 0.7500
0.2500 0.8750 0.6250
0.1250 0.2500 0.3750
0.3750 0.7500 0.1250


# 2
meta-GGA SCAN Cu2TcSb, single point on PBEsol structure; space group = P4/mmm (123)
1.0
3.8953 0.0000 0.0000
0.0000 3.7502 0.7683
0.0000 -0.7687 3.7501
Cu Sb Tc
2 1 1
direct
0.0000 0.0000 0.5000
0.0000 0.5000 0.0000
0.5000 0.0000 0.0000
0.5000 0.5000 0.5000


# 3
meta-GGA SCAN Cu2TcSb, single point on PBEsol structure; space group = P4/mmm (123)
1.0
-2.7661 1.1690 -1.5247
-0.9620 -3.1563 -0.6748
-2.5904 -0.1849 4.5578
Cu Sb Tc
2 1 1
direct
0.0000 0.0000 0.7315
0.0000 0.0000 0.2685
0.5000 0.5000 0.0000
0.5000 0.5000 0.5000


How do the records compare in magnetic moment? In the order shown, they have 0.0; 0.0; 1.2 μB/f.u..
How do the records compare in ΔE_f (raw)? In the order shown, they have -831; 236; 402 meV/atom.